[1]
7
Lattice="-0.517 -1.647 -4.638 5.045 -2.680 3.030 -6.708 -3.485 1.985" Properties=species:S:1:pos:R:3 comment="Sr2Mg3Tl2, relaxed, DFT GGA-PBE" rho_g_cm3=5.1 spacegroup="C2/m (12)" n_ef_per_ev_fu=3.71 formation_energy_ev_per_atom=-0.23 pbc="T T T"
Sr 1.601 -4.088 -1.367
Sr -3.781 -3.724 1.744
Mg -0.258 -0.824 -2.319
Mg -2.084 -3.086 -1.312
Mg -0.096 -4.726 1.689
Tl -2.066 -5.986 -0.284
Tl -0.114 -1.826 0.661


[2]
14
Lattice="-3.975 -4.661 -6.037 3.418 -0.664 -7.864 2.112 -5.427 -3.327" Properties=species:S:1:pos:R:3 comment="CeGa3Ag3, relaxed, DFT GGA-PBE" rho_g_cm3=7.7 spacegroup="R-3 (148)" n_ef_per_ev_fu=7.96 formation_energy_ev_per_atom=-0.14 pbc="T T T"
Ce 0.105 -2.237 -4.468
Ce 1.450 -8.515 -12.759
Ga 2.151 -6.102 -10.413
Ga -0.768 -7.083 -8.024
Ga 2.121 -4.806 -6.738
Ga -0.566 -5.946 -10.490
Ga 2.322 -3.669 -9.203
Ga -0.596 -4.650 -6.815
Ag 2.506 -2.221 -6.826
Ag -3.017 -5.903 -7.406
Ag 1.075 -5.193 -12.615
Ag 0.480 -5.559 -4.612
Ag 4.572 -4.849 -9.822
Ag -0.951 -8.531 -10.401


[3]
13
Lattice="-1.464 -2.035 -2.107 6.489 -10.730 5.856 -6.970 0.909 3.964" Properties=species:S:1:pos:R:3 comment="Tl2Cd3Hg8, relaxed, DFT GGA-PBE" rho_g_cm3=11.1 spacegroup="P2/m (10)" n_ef_per_ev_fu=2.72 formation_energy_ev_per_atom=0.01 pbc="T T T"
Tl -2.290 -3.795 2.711
Tl 0.345 -8.061 5.002
Cd -0.732 -1.017 -1.053
Cd 0.582 -2.189 1.710
Cd -1.064 -7.632 8.110
Hg 3.362 -6.616 4.055
Hg -5.307 -5.240 3.659
Hg -3.586 -2.469 -0.213
Hg 1.641 -9.387 7.927
Hg -2.292 -6.185 5.022
Hg -5.018 -1.912 2.788
Hg 3.073 -9.944 4.926
Hg 0.347 -5.670 2.691


[4]
10
Lattice="5.003 0.000 -1.044 -0.943 8.781 -4.518 0.229 -0.114 13.606" Properties=species:S:1:pos:R:3 comment="Cs5RbAg4, relaxed, DFT GGA-PBE" rho_g_cm3=3.3 spacegroup="C2/m (12)" n_ef_per_ev_fu=3.64 formation_energy_ev_per_atom=0.04 pbc="T T T"
Cs 0.625 2.196 2.997
Cs 0.282 6.855 1.349
Cs 4.007 1.812 6.694
Cs 2.030 4.391 -2.781
Cs 3.663 6.471 5.046
Rb 2.501 0.000 -0.522
Ag 2.278 8.116 -1.591
Ag 4.748 1.256 10.244
Ag 2.010 0.551 9.634
Ag -0.459 7.411 -2.200


[5]
8
Lattice="4.775 0.000 0.000 0.000 4.775 0.000 2.387 2.387 10.165" Properties=species:S:1:pos:R:3 comment="KFe2I, relaxed, DFT GGA-PBE" formation_energy_uncorrected_ev_per_atom=0.72 rho_g_cm3=4.0 spacegroup="I-42d (122)" n_ef_per_ev_fu=3.21 pbc="T T T"
I 0.000 0.000 0.000
I 4.775 2.387 5.082
K 2.387 2.387 0.000
K 2.387 4.775 5.082
Fe 4.748 1.194 2.541
Fe 4.802 3.581 2.541
Fe 3.581 2.415 7.624
Fe 5.969 2.360 7.624


[6]
4
Lattice="-1.425 4.869 2.866 -4.444 -2.665 -2.071 -1.184 -0.138 2.717" Properties=species:S:1:pos:R:3 comment="TaAs2Cl, relaxed, DFT GGA-PBE" formation_energy_uncorrected_ev_per_atom=0.23 rho_g_cm3=8.2 spacegroup="Cmmm (65)" n_ef_per_ev_fu=2.04 pbc="T T T"
As 0.000 0.000 0.000
As -1.304 2.365 2.792
Cl -2.814 -1.402 0.323
Ta -2.935 1.102 0.398


[7]
4
Lattice="-2.782 0.299 -2.101 -2.100 -2.750 -0.526 -8.594 2.645 8.843" Properties=species:S:1:pos:R:3 comment="Pr2HoPu, relaxed, DFT GGA-PBE" rho_g_cm3=8.7 spacegroup="R-3m (166)" n_ef_per_ev_fu=11.59 formation_energy_ev_per_atom=0.28 pbc="T T T"
Pr -8.623 1.034 5.737
Pr -4.853 -0.839 0.478
Ho -6.738 0.097 3.108
Pu 0.000 0.000 0.000


[8]
8
Lattice="3.895 0.000 0.000 -1.947 3.373 0.000 0.000 0.000 12.998" Properties=species:S:1:pos:R:3 comment="TbNpS2, relaxed, DFT GGA-PBE" formation_energy_uncorrected_ev_per_atom=-1.67 rho_g_cm3=8.9 spacegroup="P6_3/mmc (194)" n_ef_per_ev_fu=7.32 pbc="T T T"
Tb 1.947 1.124 3.249
Tb 0.000 2.249 9.748
Np 0.000 0.000 6.499
Np 0.000 0.000 0.000
S 0.000 2.249 4.923
S 1.947 1.124 11.421
S 1.947 1.124 8.075
S 0.000 2.249 1.576


What did the fourth record say?
10
Lattice="5.003 0.000 -1.044 -0.943 8.781 -4.518 0.229 -0.114 13.606" Properties=species:S:1:pos:R:3 comment="Cs5RbAg4, relaxed, DFT GGA-PBE" rho_g_cm3=3.3 spacegroup="C2/m (12)" n_ef_per_ev_fu=3.64 formation_energy_ev_per_atom=0.04 pbc="T T T"
Cs 0.625 2.196 2.997
Cs 0.282 6.855 1.349
Cs 4.007 1.812 6.694
Cs 2.030 4.391 -2.781
Cs 3.663 6.471 5.046
Rb 2.501 0.000 -0.522
Ag 2.278 8.116 -1.591
Ag 4.748 1.256 10.244
Ag 2.010 0.551 9.634
Ag -0.459 7.411 -2.200